No. 1
Below is an optimized crystal structure of SrNi5, with properties calculated at the PBE level.

abc: 5.5815 5.5815 5.9329
angles: 84.43 84.43 28.80
Last column: nearest neighbours and their distance in Å.
Atoms (fractional coordinates):
1 Ni 0.0613 0.0613 0.0589  4 Ni 2.35-2.38
2 Ni 0.2676 0.2676 0.5355  6 Ni 2.42-2.53
3 Ni 0.5932 0.5932 0.7321  5 Ni 2.30-2.53
4 Ni 0.9533 0.9533 0.4904  7 Ni 2.43-2.70
5 Ni 0.6286 0.6286 0.3425  7 Ni 2.30-2.44
6 Sr 0.3294 0.3294 0.0072  2 Sr 2.78, 4 Ni 2.88-2.94

Its density of states at the Fermi level is 10.360 states/eV/f.u. Its formation energy is 274 meV/atom. The space group is Cm (8).

=====

No. 2
Below is an optimized crystal structure of Tl5W2Cl12, with properties calculated at the PBE level.

abc: 6.8096 9.6231 10.4728
angles: 102.66 90.00 110.72
Last column: nearest neighbours and their distance in Å.
Atoms (fractional coordinates):
1 Cl 0.4003 0.3030 0.5718  4 Tl 2.90-3.15
2 Cl 0.0973 0.6970 0.4282  4 Tl 2.90-3.15
3 Cl 0.4988 0.9977 0.8139  2 W 2.37
4 Cl 0.9027 0.3030 0.5718  4 Tl 2.90-3.15
5 Cl 0.3978 0.2675 0.0504  1 W 2.35
6 Cl 0.5997 0.6970 0.4282  4 Tl 2.90-3.15
7 Cl 0.5012 0.0023 0.1861  2 W 2.37
8 Cl 0.8697 0.2675 0.0504  1 W 2.35
9 Cl 0.6022 0.7325 0.9496  1 W 2.35
10 Cl 0.1303 0.7325 0.9496  1 W 2.35
11 Cl 0.0015 0.0030 0.1528  2 W 2.59
12 Cl 0.9985 0.9970 0.8472  2 W 2.59
13 Tl 0.3017 0.6034 0.1999  2 Cl 2.90
14 Tl 0.6983 0.3966 0.8001  2 Cl 2.90
15 Tl 0.2975 0.5951 0.6345  4 Cl 3.06-3.07
16 Tl 0.7025 0.4049 0.3655  4 Cl 3.06-3.07
17 Tl 0.0000 0.0000 0.5000  4 Cl 3.15
18 W 0.3003 0.0000 0.0000  6 Cl 2.35-2.59
19 W 0.6997 0.0000 0.0000  6 Cl 2.35-2.59

Its density of states at the Fermi level is 3.699 states/eV/f.u. The space group is C2/m (12).

=====

| no. | total DFT energy (no corrections) (eV for the cell shown) |
| --- | --- |
| 1 | -28.94 |
| 2 | -76.21 |